# 1
Compound: TlCdCl
Source: Alexandria
Functional: GGA-PBE
Structure: optimized geometry

Structure (extended XYZ):
```
3
Lattice="4.290 0.000 0.000 -2.145 3.715 0.000 0.000 0.000 6.097" Properties=species:S:1:pos:R:3 pbc="T T T"
Tl 0.000 2.477 3.976
Cd 0.000 0.000 0.145
Cl 2.145 1.238 1.974
```

Calculated values
total magnetization = 0.0 Bohr magnetons per cell
total energy = -2.167 eV per atom


# 2
Compound: TlCd4Cl
Source: Alexandria
Functional: GGA-PBE
Structure: optimized geometry

Structure (extended XYZ):
```
6
Lattice="0.690 -0.191 6.054 -4.895 0.138 3.631 -1.638 -4.988 3.099" Properties=species:S:1:pos:R:3 pbc="T T T"
Cd -4.636 -1.822 6.610
Tl 0.000 0.000 0.000
Cd -3.010 -4.382 6.344
Cd -1.847 -1.986 7.819
Cl -4.382 -3.781 9.588
Cd -2.192 -1.891 4.796
```

Calculated values
total magnetization = 0.0 Bohr magnetons per cell
total energy = -1.402 eV per atom


# 3
Compound: Tl2CdCl8
Source: Alexandria
Functional: GGA-PBE
Structure: optimized geometry

Structure (extended XYZ):
```
11
Lattice="-2.319 -4.436 -4.186 -4.566 -4.122 5.054 -7.450 2.739 -0.620" Properties=species:S:1:pos:R:3 pbc="T T T"
Cl -10.473 -2.385 2.439
Cl -5.830 -6.187 0.232
Tl -3.232 -1.732 -0.451
Cl -8.504 0.367 0.016
Tl -11.102 -4.088 0.699
Cl -7.605 -1.965 -3.260
Cl -3.861 -3.434 -2.190
Cd 0.000 0.000 0.000
Cl -5.215 -1.475 0.867
Cl -9.120 -4.345 -0.619
Cl -6.729 -3.855 3.508
```

Calculated values
total magnetization = 0.0 Bohr magnetons per cell
total energy = -2.601 eV per atom


# 4
Compound: TlCdCl2
Source: Alexandria
Functional: GGA-PBE
Structure: optimized geometry

Structure (extended XYZ):
```
4
Lattice="-3.445 -3.507 1.914 -0.339 -4.807 -2.146 1.729 -4.209 2.670" Properties=species:S:1:pos:R:3 pbc="T T T"
Cl -0.514 -3.131 0.609
Cl 0.000 0.000 0.000
Cd -1.027 -6.261 1.219
Tl -1.541 -9.392 1.828
```

Calculated values
total magnetization = 0.5 Bohr magnetons per cell
total energy = -2.097 eV per atom


# 5
Compound: TlCdCl
Source: Alexandria
Functional: GGA-PBE
Structure: optimized geometry

Structure (extended XYZ):
```
3
Lattice="-6.580 -0.267 -0.887 -5.780 -2.599 1.967 -1.516 2.470 2.413" Properties=species:S:1:pos:R:3 pbc="T T T"
Tl -8.853 -1.140 1.511
Cd -12.241 -2.804 1.094
Cl -5.143 0.683 1.967
```

Calculated values
total magnetization = 0.0 Bohr magnetons per cell
total energy = -2.159 eV per atom


# 6
Compound: Tl2CdCl4
Source: Alexandria
Functional: GGA-PBE
Structure: optimized geometry

Structure (extended XYZ):
```
7
Lattice="4.092 0.000 0.000 0.000 8.475 -0.914 -2.046 -4.846 6.598" Properties=species:S:1:pos:R:3 pbc="T T T"
Tl 2.046 3.723 1.410
Cl 0.000 5.997 -0.200
Cd 0.000 0.000 0.000
Cl 2.046 -2.368 5.884
Cl 0.000 3.090 3.933
Cl 2.046 0.539 1.751
Tl 0.000 -0.094 4.274
```

Calculated values
total magnetization = 0.0 Bohr magnetons per cell
total energy = -2.907 eV per atom